Record 1
A plane-wave DFT calculation with PBE was carried out for an optimized crystal structure of Pa3SiTe6.

Crystal system: orthorhombic
ΔE_f (raw) (meV per atom): -574
E (eV per atom): -5.85

a = 11.6060 Å, b = 15.0753 Å, c = 7.2383 Å
α = 90.00°, β = 90.00°, γ = 90.00°
With the nearest neighbours (Å) after each atom.
Space group Cmc2_1 (No. 36)
Asymmetric unit:
1 Pa 0.0000 0.0955 0.0000 [4 per cell]  7 Te 3.05-3.19
2 Pa 0.1598 0.3895 0.8843 [8 per cell]  1 Si 2.80, 2 Te 3.06-3.11
3 Si 0.0000 0.3775 0.1738 [4 per cell]  4 Te 2.76-3.07, 2 Pa 2.80
4 Te 0.0000 0.2457 0.7151 [4 per cell]  3 Pa 3.06-3.11, 1 Te 3.41
5 Te 0.0000 0.4534 0.5292 [4 per cell]  2 Si 2.76-2.82
6 Te 0.1761 0.0356 0.6998 [8 per cell]  4 Pa 3.12-3.20
7 Te 0.1759 0.2257 0.1572 [8 per cell]  3 Pa 3.05-3.17, 1 Si 3.07

Record 2
A plane-wave DFT calculation with PBE was carried out for an optimized crystal structure of Pa2SiTe.

Crystal system: tetragonal
ΔE_f (raw) (meV per atom): -482
Offset from the most stable computed form (eV/atom): 0.107
E (eV per atom): -7.37

a = 3.5713 Å, b = 3.5713 Å, c = 7.3093 Å
α = 90.00°, β = 90.00°, γ = 90.00°
With the nearest neighbours (Å) after each atom.
Space group P4/mmm (No. 123)
Asymmetric unit:
1 Pa 0.0000 0.0000 0.2252 [2 per cell]  4 Si 3.01, 4 Te 3.23, 1 Pa 3.29
2 Si 0.5000 0.5000 0.0000 [1 per cell]  8 Pa 3.01
3 Te 0.5000 0.5000 0.5000 [1 per cell]  8 Pa 3.23, 4 Te 3.57

Record 3
A plane-wave DFT calculation with PBE was carried out for an optimized crystal structure of Pa4SiTe4.

Crystal system: tetragonal
ΔE_f (raw) (meV per atom): -121
E (eV per atom): -6.34

a = 7.3450 Å, b = 7.3450 Å, c = 11.4520 Å
α = 90.00°, β = 90.00°, γ = 90.00°
With the nearest neighbours (Å) after each atom.
Space group I-42m (No. 121)
Asymmetric unit:
1 Pa 0.2063 0.2063 0.1484 [8 per cell]  1 Si 2.74, 1 Te 3.05
2 Si 0.0000 0.0000 0.0000 [2 per cell]  4 Pa 2.74
3 Te 0.0000 0.0000 0.3402 [4 per cell]  4 Pa 3.05-3.07
4 Te 0.0000 0.5000 0.0000 [4 per cell]  4 Pa 3.14

Record 4
A plane-wave DFT calculation with PBE was carried out for an optimized crystal structure of Pa4SiTe5.

Crystal system: monoclinic
ΔE_f (raw) (meV per atom): -725
E (eV per atom): -6.64

a = 18.4523 Å, b = 4.1551 Å, c = 8.5158 Å
α = 90.00°, β = 102.33°, γ = 90.00°
With the nearest neighbours (Å) after each atom.
Space group C2/m (No. 12)
Asymmetric unit:
1 Pa 0.0019 0.0000 0.2746 [4 per cell]  2 Si 2.83, 4 Te 3.06-3.12
2 Pa 0.1558 0.5000 0.5778 [4 per cell]  1 Si 2.81, 5 Te 3.04-3.11
3 Si 0.0000 0.5000 0.5000 [2 per cell]  6 Pa 2.81-2.83
4 Te 0.0000 0.5000 0.0000 [2 per cell]  4 Pa 3.12
5 Te 0.1670 0.0000 0.8424 [4 per cell]  3 Pa 3.04-3.06
6 Te 0.1723 0.0000 0.3157 [4 per cell]  4 Pa 3.09-3.11

Record 5
A plane-wave DFT calculation with PBE was carried out for an optimized crystal structure of PaSiTe2.

Crystal system: trigonal
ΔE_f (raw) (meV per atom): 289
E (eV per atom): -5.01

a = 3.7585 Å, b = 3.7585 Å, c = 28.0008 Å
α = 90.00°, β = 90.00°, γ = 120.00°
With the nearest neighbours (Å) after each atom.
Space group R-3m (No. 166, hexagonal axes)
Asymmetric unit:
1 Pa 0.0000 0.0000 0.0000 [3 per cell]  2 Te 3.01
2 Si 0.0000 0.0000 0.5000 [3 per cell]  6 Te 2.73
3 Te 0.0000 0.0000 0.1075 [6 per cell]  3 Si 2.73, 1 Pa 3.01

Record 6
A plane-wave DFT calculation with PBE was carried out for an optimized crystal structure of Pa3SiTe2.

Crystal system: monoclinic
ΔE_f (raw) (meV per atom): -597
E (eV per atom): -7.30

a = 7.3578 Å, b = 12.7517 Å, c = 7.3801 Å
α = 90.00°, β = 109.47°, γ = 90.00°
With the nearest neighbours (Å) after each atom.
Space group C2/m (No. 12)
Asymmetric unit:
1 Pa 0.2125 0.0000 0.2127 [4 per cell]  2 Si 2.82, 4 Te 3.03-3.14
2 Pa 0.2453 0.1776 0.7744 [8 per cell]  2 Si 2.82-2.84, 2 Te 3.06-3.08
3 Si 0.0000 0.1700 0.0000 [4 per cell]  6 Pa 2.82-2.84
4 Te 0.0000 0.0000 0.5000 [2 per cell]  6 Pa 3.03-3.17
5 Te 0.0000 0.3450 0.5000 [4 per cell]  6 Pa 3.08-3.20
6 Te 0.0000 0.5000 0.0000 [2 per cell]  6 Pa 3.03-3.06

Record 7
A plane-wave DFT calculation with PBE was carried out for an optimized crystal structure of PaSiTe3.

Crystal system: orthorhombic
ΔE_f (raw) (meV per atom): -172
E (eV per atom): -5.04

a = 6.1055 Å, b = 10.8638 Å, c = 8.2944 Å
α = 90.00°, β = 90.00°, γ = 90.00°
With the nearest neighbours (Å) after each atom.
Space group Imma (No. 74)
Asymmetric unit:
1 Pa 0.0000 0.2500 0.0555 [4 per cell]  2 Si 2.96, 2 Te 3.06
2 Si 0.2500 0.2500 0.7500 [4 per cell]  4 Te 2.83-2.90, 2 Pa 2.96, 2 Si 3.05
3 Te 0.0000 0.2500 0.4622 [4 per cell]  2 Si 2.83, 2 Pa 3.06
4 Te 0.2500 0.0169 0.2500 [8 per cell]  1 Si 2.90, 2 Te 3.05

Record 8
A plane-wave DFT calculation with PBE was carried out for an optimized crystal structure of Pa2SiTe.

Crystal system: trigonal
ΔE_f (raw) (meV per atom): -589
Offset from the most stable computed form (eV/atom): 0.000
E (eV per atom): -7.48

a = 4.1493 Å, b = 4.1493 Å, c = 21.2178 Å
α = 90.00°, β = 90.00°, γ = 120.00°
With the nearest neighbours (Å) after each atom.
Space group R-3m (No. 166, hexagonal axes)
Asymmetric unit:
1 Pa 0.0000 0.0000 0.2381 [6 per cell]  3 Si 2.83, 3 Te 3.13
2 Si 0.0000 0.0000 0.5000 [3 per cell]  6 Pa 2.84
3 Te 0.0000 0.0000 0.0000 [3 per cell]  6 Pa 3.13

Record 9
A plane-wave DFT calculation with PBE was carried out for an optimized crystal structure of Pa2SiTe.

Crystal system: cubic
ΔE_f (raw) (meV per atom): -407
Offset from the most stable computed form (eV/atom): 0.182
E (eV per atom): -7.30

a = 7.2084 Å, b = 7.2084 Å, c = 7.2084 Å
α = 90.00°, β = 90.00°, γ = 90.00°
With the nearest neighbours (Å) after each atom.
Space group Fm-3m (No. 225)
Asymmetric unit:
1 Pa 0.2500 0.2500 0.2500 [8 per cell]  4 Te 3.12, 4 Si 3.12
2 Si 0.0000 0.0000 0.0000 [4 per cell]  8 Pa 3.12
3 Te 0.0000 0.0000 0.5000 [4 per cell]  8 Pa 3.12

Record 10
A plane-wave DFT calculation with PBE was carried out for an optimized crystal structure of Pa4SiTe3.

Crystal system: orthorhombic
ΔE_f (raw) (meV per atom): -589
E (eV per atom): -7.19

a = 8.8723 Å, b = 12.1191 Å, c = 4.1214 Å
α = 90.00°, β = 90.00°, γ = 90.00°
With the nearest neighbours (Å) after each atom.
Space group Cmmm (No. 65)
Asymmetric unit:
1 Pa 0.0000 0.2336 0.0000 [4 per cell]  1 Si 2.83, 4 Te 3.03
2 Pa 0.2205 0.0000 0.5000 [4 per cell]  2 Si 2.84, 2 Te 3.04
3 Si 0.0000 0.0000 0.0000 [2 per cell]  6 Pa 2.83-2.84
4 Te 0.0000 0.5000 0.0000 [2 per cell]  6 Pa 3.22-3.23
5 Te 0.2500 0.2500 0.5000 [4 per cell]  6 Pa 3.03-3.04

Record 11
A plane-wave DFT calculation with PBE was carried out for an optimized crystal structure of ThPaSi4.

Crystal system: cubic
ΔE_f (raw) (meV per atom): -293
Offset from the most stable computed form (eV/atom): 0.268
E (eV per atom): -6.73

a = 7.5710 Å, b = 7.5710 Å, c = 7.5710 Å
α = 90.00°, β = 90.00°, γ = 90.00°
With the nearest neighbours (Å) after each atom.
Space group F-43m (No. 216)
Asymmetric unit:
1 Th 0.0000 0.0000 0.0000 [4 per cell]  12 Si 3.14, 4 Pa 3.28
2 Pa 0.2500 0.2500 0.2500 [4 per cell]  12 Si 3.14, 4 Th 3.28
3 Si 0.1246 0.1246 0.6246 [16 per cell]  6 Si 2.67-2.69

Record 12
A plane-wave DFT calculation with PBE was carried out for an optimized crystal structure of ThPa2Si4.

Crystal system: orthorhombic
ΔE_f (raw) (meV per atom): -569
E (eV per atom): -7.44

a = 4.0381 Å, b = 4.1645 Å, c = 17.5498 Å
α = 90.00°, β = 90.00°, γ = 90.00°
With the nearest neighbours (Å) after each atom.
Space group Immm (No. 71)
Asymmetric unit:
1 Th 0.0000 0.0000 0.0000 [2 per cell]  12 Si 3.14-3.35
2 Pa 0.0000 0.5000 0.3153 [4 per cell]  7 Si 2.90-2.96
3 Si 0.0000 0.0000 0.4319 [4 per cell]  3 Si 2.39-2.48
4 Si 0.0000 0.5000 0.1498 [4 per cell]  2 Si 2.48

Record 13
A plane-wave DFT calculation with PBE was carried out for an optimized crystal structure of ThPaSi.

Crystal system: hexagonal
ΔE_f (raw) (meV per atom): -241
Offset from the most stable computed form (eV/atom): 0.000
E (eV per atom): -7.69

a = 5.1239 Å, b = 5.1239 Å, c = 6.3195 Å
α = 90.00°, β = 90.00°, γ = 120.00°
With the nearest neighbours (Å) after each atom.
Space group P6_3/mmc (No. 194)
Asymmetric unit:
1 Th 0.0000 0.0000 0.0000 [2 per cell]  2 Th 3.16, 6 Pa 3.35, 6 Si 3.35
2 Pa 0.3333 0.6667 0.2500 [2 per cell]  5 Si 2.96-3.16
3 Si 0.3333 0.6667 0.7500 [2 per cell]  5 Pa 2.96-3.16

Record 14
A plane-wave DFT calculation with PBE was carried out for an optimized crystal structure of ThPaSi4.

Crystal system: tetragonal
ΔE_f (raw) (meV per atom): -561
Offset from the most stable computed form (eV/atom): 0.000
E (eV per atom): -7.00

a = 4.0263 Å, b = 4.0263 Å, c = 14.5013 Å
α = 90.00°, β = 90.00°, γ = 90.00°
With the nearest neighbours (Å) after each atom.
Space group I-4m2 (No. 119)
Asymmetric unit:
1 Th 0.0000 0.0000 0.0000 [2 per cell]  12 Si 3.10-3.18
2 Pa 0.0000 0.5000 0.2500 [2 per cell]  12 Si 3.07-3.12
3 Si 0.0000 0.0000 0.4147 [4 per cell]  3 Si 2.36-2.47
4 Si 0.0000 0.5000 0.6700 [4 per cell]  3 Si 2.32-2.36

Record 15
A plane-wave DFT calculation with PBE was carried out for an optimized crystal structure of ThPa2Si6.

Crystal system: hexagonal
ΔE_f (raw) (meV per atom): -546
E (eV per atom): -7.10

a = 7.0781 Å, b = 7.0781 Å, c = 3.9891 Å
α = 90.00°, β = 90.00°, γ = 120.00°
With the nearest neighbours (Å) after each atom.
Space group P6/mmm (No. 191)
Asymmetric unit:
1 Th 0.0000 0.0000 0.0000 [1 per cell]  12 Si 3.11
2 Pa 0.3333 0.6667 0.0000 [2 per cell]  12 Si 3.08
3 Si 0.0000 0.3366 0.5000 [6 per cell]  3 Si 2.31-2.38

Record 16
A plane-wave DFT calculation with PBE was carried out for an optimized crystal structure of ThPaSi.

Crystal system: trigonal
ΔE_f (raw) (meV per atom): 72
Offset from the most stable computed form (eV/atom): 0.313
E (eV per atom): -7.37

a = 4.9702 Å, b = 4.9702 Å, c = 3.3987 Å
α = 90.00°, β = 90.00°, γ = 120.00°
With the nearest neighbours (Å) after each atom.
Space group P3m1 (No. 156)
Asymmetric unit:
1 Th 0.0000 0.0000 0.0000 [1 per cell]  3 Si 3.07, 6 Pa 3.25-3.43, 2 Th 3.40
2 Pa 0.3333 0.6667 0.5531 [1 per cell]  3 Si 2.98, 3 Th 3.25
3 Si 0.6667 0.3333 0.3189 [1 per cell]  3 Pa 2.98, 3 Th 3.07

Record 17
A plane-wave DFT calculation with PBE was carried out for an optimized crystal structure of ThPaSi3.

Crystal system: orthorhombic
ΔE_f (raw) (meV per atom): -578
E (eV per atom): -7.21

a = 4.1518 Å, b = 24.7702 Å, c = 4.0619 Å
α = 90.00°, β = 90.00°, γ = 90.00°
With the nearest neighbours (Å) after each atom.
Space group Cmcm (No. 63)
Asymmetric unit:
1 Th 0.0000 0.0714 0.2500 [4 per cell]  12 Si 3.13-3.37
2 Pa 0.0000 0.2038 0.7500 [4 per cell]  7 Si 2.91-2.97
3 Si 0.0000 0.3212 0.7500 [4 per cell]  2 Si 2.48
4 Si 0.0000 0.3787 0.2500 [4 per cell]  3 Si 2.39-2.48
5 Si 0.0000 0.4753 0.2500 [4 per cell]  3 Si 2.37-2.39

Record 18
A plane-wave DFT calculation with PBE was carried out for an optimized crystal structure of Th2PaSi6.

Crystal system: hexagonal
ΔE_f (raw) (meV per atom): -581
E (eV per atom): -6.90

a = 7.1095 Å, b = 7.1095 Å, c = 4.0813 Å
α = 90.00°, β = 90.00°, γ = 120.00°
With the nearest neighbours (Å) after each atom.
Space group P6/mmm (No. 191)
Asymmetric unit:
1 Th 0.3333 0.6667 0.0000 [2 per cell]  12 Si 3.14
2 Pa 0.0000 0.0000 0.0000 [1 per cell]  12 Si 3.11
3 Si 0.0000 0.3299 0.5000 [6 per cell]  3 Si 2.35-2.42

Record 19
A plane-wave DFT calculation with PBE was carried out for an optimized crystal structure of Th2Pa3Si4.

Crystal system: monoclinic
ΔE_f (raw) (meV per atom): -557
E (eV per atom): -7.78

a = 7.6855 Å, b = 7.6638 Å, c = 7.4973 Å
α = 90.00°, β = 108.64°, γ = 90.00°
With the nearest neighbours (Å) after each atom.
Space group P2_1/c (No. 14)
Asymmetric unit:
1 Th 0.1996 0.1765 0.0760 [4 per cell]  6 Si 3.05-3.24
2 Pa 0.2514 0.6848 0.2440 [4 per cell]  6 Si 2.86-2.97
3 Pa 0.5000 0.0000 0.5000 [2 per cell]  6 Si 2.99-3.07, 4 Pa 3.29-3.35
4 Si 0.0800 0.5279 0.8669 [4 per cell]  1 Si 2.69, 3 Pa 2.86-2.97
5 Si 0.4890 0.1186 0.8766 [4 per cell]  1 Si 2.56, 1 Pa 2.87

Record 20
A plane-wave DFT calculation with PBE was carried out for an optimized crystal structure of Pa2Ti3Si4.

Crystal system: monoclinic
ΔE_f (raw) (meV per atom): -722
E (eV per atom): -7.87

a = 7.0386 Å, b = 6.9925 Å, c = 6.9093 Å
α = 90.00°, β = 109.54°, γ = 90.00°
With the nearest neighbours (Å) after each atom.
Space group P2_1/c (No. 14)
Asymmetric unit:
1 Pa 0.1868 0.1670 0.0622 [4 per cell]  7 Si 2.84-3.07
2 Ti 0.2511 0.6698 0.2483 [4 per cell]  6 Si 2.58-2.69
3 Ti 0.5000 0.0000 0.5000 [2 per cell]  6 Si 2.71-2.76
4 Si 0.0870 0.5432 0.8668 [4 per cell]  4 Ti 2.58-2.76, 1 Si 2.60, 1 Pa 2.84
5 Si 0.4990 0.1294 0.8695 [4 per cell]  1 Si 2.55, 5 Ti 2.59-2.74

Record 21
A plane-wave DFT calculation with PBE was carried out for an optimized crystal structure of Pa2TiSi.

Crystal system: cubic
ΔE_f (raw) (meV per atom): 78
Offset from the most stable computed form (eV/atom): 0.374
E (eV per atom): -8.00

a = 6.9743 Å, b = 6.9743 Å, c = 6.9743 Å
α = 90.00°, β = 90.00°, γ = 90.00°
With the nearest neighbours (Å) after each atom.
Space group Fm-3m (No. 225)
Asymmetric unit:
1 Pa 0.2500 0.2500 0.2500 [8 per cell]  4 Si 3.02, 4 Ti 3.02
2 Ti 0.0000 0.0000 0.0000 [4 per cell]  8 Pa 3.02
3 Si 0.0000 0.0000 0.5000 [4 per cell]  8 Pa 3.02

Record 22
A plane-wave DFT calculation with PBE was carried out for an optimized crystal structure of Pa2TiSi.

Crystal system: tetragonal
ΔE_f (raw) (meV per atom): -296
Offset from the most stable computed form (eV/atom): 0.000
E (eV per atom): -8.37

a = 4.2316 Å, b = 4.2316 Å, c = 4.4679 Å
α = 90.00°, β = 90.00°, γ = 90.00°
With the nearest neighbours (Å) after each atom.
Space group P4/mmm (No. 123)
Asymmetric unit:
1 Pa 0.0000 0.5000 0.0000 [2 per cell]  4 Pa 2.99, 4 Si 3.08, 4 Ti 3.08
2 Ti 0.0000 0.0000 0.5000 [1 per cell]  4 Si 2.99, 8 Pa 3.08
3 Si 0.5000 0.5000 0.5000 [1 per cell]  4 Ti 2.99, 8 Pa 3.08

Record 23
A plane-wave DFT calculation with PBE was carried out for an optimized crystal structure of TmPa2Si.

Crystal system: trigonal
ΔE_f (raw) (meV per atom): 193
Offset from the most stable computed form (eV/atom): 0.390
E (eV per atom): -7.03

a = 3.1691 Å, b = 3.1691 Å, c = 33.3049 Å
α = 90.00°, β = 90.00°, γ = 120.00°
With the nearest neighbours (Å) after each atom.
Space group R-3m (No. 166, hexagonal axes)
Asymmetric unit:
1 Tm 0.0000 0.0000 0.0000 [3 per cell]  6 Tm 3.17, 2 Pa 3.19
2 Pa 0.0000 0.0000 0.0958 [6 per cell]  3 Si 2.99, 6 Pa 3.17, 1 Tm 3.19
3 Si 0.0000 0.0000 0.5000 [3 per cell]  6 Pa 2.99, 6 Si 3.17

Record 24
A plane-wave DFT calculation with PBE was carried out for an optimized crystal structure of TmPaSi2.

Crystal system: trigonal
ΔE_f (raw) (meV per atom): -434
Offset from the most stable computed form (eV/atom): 0.170
E (eV per atom): -6.64

a = 4.5172 Å, b = 4.5172 Å, c = 14.9936 Å
α = 90.00°, β = 90.00°, γ = 120.00°
With the nearest neighbours (Å) after each atom.
Space group R-3m (No. 166, hexagonal axes)
Asymmetric unit:
1 Tm 0.0000 0.0000 0.0000 [3 per cell]  6 Si 2.87
2 Pa 0.0000 0.0000 0.5000 [3 per cell]  6 Si 2.91
3 Si 0.0000 0.0000 0.2530 [6 per cell]  3 Tm 2.87, 3 Pa 2.91